[1]
A plane-wave DFT calculation with PBE-GGA was carried out for a geometry-optimized P4Pd structure.

Properties
* offset from the most stable computed form: 128.3 kJ per mole of atoms
* space group: Pm-3m, No. 221
* energy relative to the elements: 1.119 eV per atom
* total energy: -4.248 eV per atom

Cell lengths 4.6412, 4.6412, 4.6412 Å; angles 90.00, 90.00, 90.00 degrees
Fractional coordinates of all 5 atoms:
Pd: 0.5000 0.5000 0.5000
P: 0.5000 0.5000 0.0000
P: 0.5000 0.0000 0.5000
P: 0.0000 0.5000 0.5000
P: 0.0000 0.0000 0.0000


[2]
A plane-wave DFT calculation with PBE-GGA was carried out for a geometry-optimized PPd3 structure.

Properties
* offset from the most stable computed form: 3.7 kJ per mole of atoms
* space group: I-4, No. 82
* energy relative to the elements: -0.432 eV per atom
* total energy: -5.679 eV per atom

Cell lengths 4.8225, 7.3734, 7.3734 Å; angles 83.86, 70.91, 70.91 degrees
Fractional coordinates of all 16 atoms:
Pd: 0.4118 0.6082 0.0379
Pd: 0.9799 0.9621 0.6082
Pd: 0.6540 0.1950 0.9763
P: 0.7097 0.3139 0.2476
Pd: 0.1510 0.0237 0.1950
P: 0.0427 0.2476 0.6861
Pd: 0.4886 0.6602 0.3877
P: 0.2712 0.6861 0.7524
Pd: 0.5503 0.0379 0.3918
Pd: 0.8253 0.8050 0.0237
Pd: 0.3697 0.9763 0.8050
P: 0.9764 0.7524 0.3139
Pd: 0.8512 0.6123 0.6602
Pd: 0.5365 0.3398 0.6123
Pd: 0.1237 0.3877 0.3398
Pd: 0.0580 0.3918 0.9621